Record 1
Compound: Ac2Nb2N7
Source: Alexandria
Functional: PBE
Structure: optimized geometry

Cell lengths 5.8022, 5.8022, 5.1465 Å; angles 90.53, 90.53, 101.56 degrees
Closest atoms and distances in Å follow each position.
Element x y z (fractional)
Ac 0.2357 0.7643 0.0000  4 N 2.48-2.56
Ac 0.7643 0.2357 0.0000  4 N 2.48-2.56
Nb 0.2197 0.2197 0.5121  5 N 1.96-2.19
Nb 0.7803 0.7803 0.4879  5 N 1.96-2.19
N 0.0144 0.5501 0.3841  1 N 1.33
N 0.0243 0.0243 0.2477  2 Nb 1.96-2.19
N 0.4499 0.9856 0.6159  1 N 1.33
N 0.5000 0.5000 0.5000  2 Nb 2.06
N 0.5501 0.0144 0.3841  1 N 1.33
N 0.9757 0.9757 0.7523  2 Nb 1.96-2.19
N 0.9856 0.4499 0.6159  1 N 1.33

Record 2
Compound: AcNb2N
Source: Alexandria
Functional: PBE
Structure: optimized geometry

Cell lengths 8.6393, 8.6393, 8.6393 Å; angles 22.56, 22.56, 22.56 degrees
Closest atoms and distances in Å follow each position.
Element x y z (fractional)
Ac 0.0000 0.0000 0.0000  2 Nb 3.20, 6 Ac 3.38
Nb 0.1267 0.1267 0.1267  3 N 2.20
Nb 0.8733 0.8733 0.8733  3 N 2.20
N 0.5000 0.5000 0.5000  6 Nb 2.20

Number 1: theoretical density 7.219 g cm⁻³, DOS at the Fermi energy 0.4563 states/eV per atom, formation energy from raw total energies -0.53 eV/atom. Number 2: theoretical density 8.516 g cm⁻³, DOS at the Fermi energy 0.9634 states/eV per atom, formation energy from raw total energies -0.02 eV/atom.